[1]
This record from Alexandria via LeMat-Bulk describes a relaxed SrLi2Y2Sn2 crystal. The functional is PBE-GGA.

Cell: 4.8846 4.8846 28.2675 Å, 90.00 90.00 120.00°
Space group R-3m (No. 166, hexagonal axes)
Unique sites:
Sr (0.0000, 0.0000, 0.0000) (multiplicity 3)
Li (0.0000, 0.0000, 0.4177) (multiplicity 6)
Y (0.0000, 0.0000, 0.1314) (multiplicity 6)
Sn (0.0000, 0.0000, 0.2521) (multiplicity 6)

Computed properties:
Formation enthalpy at 0 K: -0.50 eV per atom
Size of the total moment: 0.00 Bohr magnetons per cell
Fermi-level density of states: 3.419 states/eV/f.u.

=====

[2]
This record from Alexandria via LeMat-Bulk describes a relaxed TlTeAu2 crystal. The functional is PBE-GGA.

Cell: 3.403 4.011 6.951 Å, 90.00 90.00 90.00°
Space group Pmmm (No. 47)
Unique sites:
Tl (0.000, 0.000, 0.000) (multiplicity 1)
Te (0.000, 0.000, 0.500) (multiplicity 1)
Au (0.500, 0.500, 0.267) (multiplicity 2)

Computed properties:
Uncorrected formation energy: 183 meV/atom
Size of the total moment: 0.00 Bohr magnetons per cell
Fermi-level density of states: 1.316 states/eV/f.u.
Energy above the lowest structure with this stoichiometry: 0.79 eV/f.u.

=====

[3]
This record from Alexandria via LeMat-Bulk describes a relaxed SrCuGePd2 crystal. The functional is PBE-GGA.

Cell: 4.841 4.841 4.606 Å, 90.00 90.00 90.00°
Space group P4/mmm (No. 123)
Unique sites:
Sr (0.000, 0.000, 0.000) (multiplicity 1)
Cu (0.500, 0.500, 0.000) (multiplicity 1)
Ge (0.500, 0.500, 0.500) (multiplicity 1)
Pd (0.000, 0.500, 0.500) (multiplicity 2)

Computed properties:
Formation enthalpy at 0 K: -0.32 eV per atom
Size of the total moment: 0.00 Bohr magnetons per cell
Fermi-level density of states: 2.745 states/eV/f.u.

=====

[4]
This record from Alexandria via LeMat-Bulk describes a relaxed Ba4PtI3 crystal. The functional is PBE-GGA.

Cell: 9.141 10.202 8.221 Å, 90.00 108.85 90.00°
Space group P2/c (No. 13)
Unique sites:
Ba (0.198, 0.104, 0.497) (multiplicity 4)
Ba (0.223, 0.331, 0.969) (multiplicity 4)
Pt (0.000, 0.122, 0.750) (multiplicity 2)
I (0.000, 0.398, 0.250) (multiplicity 2)
I (0.500, 0.121, 0.250) (multiplicity 2)
I (0.500, 0.390, 0.750) (multiplicity 2)

Computed properties:
Uncorrected formation energy: -1233 meV/atom
Size of the total moment: 0.01 Bohr magnetons per cell
Fermi-level density of states: 6.080 states/eV/f.u.

=====

[5]
This record from Alexandria via LeMat-Bulk describes a relaxed Si3RhO crystal. The functional is PBE-GGA.

Cell: 4.532 4.532 4.532 Å, 90.00 90.00 90.00°
Space group Pm-3m (No. 221)
Unique sites:
Si (0.000, 0.000, 0.500) (multiplicity 3)
Rh (0.000, 0.000, 0.000) (multiplicity 1)
O (0.500, 0.500, 0.500) (multiplicity 1)

Computed properties:
Uncorrected formation energy: 478 meV/atom
Size of the total moment: 0.00 Bohr magnetons per cell
Fermi-level density of states: 3.542 states/eV/f.u.
Energy above the lowest structure with this stoichiometry: 2.21 eV/f.u.

=====

[6]
This record from Alexandria via LeMat-Bulk describes a relaxed Rb2InSnIr crystal. The functional is PBE-GGA.

Cell: 6.513 6.513 5.032 Å, 90.00 90.00 90.00°
Space group P4/mmm (No. 123)
Unique sites:
Rb (0.000, 0.500, 0.000) (multiplicity 2)
In (0.000, 0.000, 0.500) (multiplicity 1)
Sn (0.500, 0.500, 0.500) (multiplicity 1)
Ir (0.500, 0.500, 0.000) (multiplicity 1)

Computed properties:
Formation enthalpy at 0 K: 0.42 eV per atom
Size of the total moment: 0.27 Bohr magnetons per cell
Fermi-level density of states: 5.701 states/eV/f.u.

=====

[7]
This record from Alexandria via LeMat-Bulk describes a relaxed NdNiN crystal. The functional is PBE-GGA.

Cell: 3.677 14.148 3.736 Å, 90.00 90.00 90.00°
Space group Cmcm (No. 63)
Unique sites:
Nd (0.000, 0.158, 0.250) (multiplicity 4)
Ni (0.000, 0.454, 0.250) (multiplicity 4)
N (0.000, 0.326, 0.250) (multiplicity 4)

Computed properties:
Uncorrected formation energy: -736 meV/atom
Size of the total moment: 0.00 Bohr magnetons per cell
Fermi-level density of states: 2.407 states/eV/f.u.

=====

[8]
This record from Alexandria via LeMat-Bulk describes a relaxed La2Ni2Cl crystal. The functional is PBE-GGA.

Cell: 7.910 7.910 3.577 Å, 90.00 90.00 90.00°
Space group P4/mbm (No. 127)
Unique sites:
La (0.184, 0.316, 0.000) (multiplicity 4)
Ni (0.107, 0.607, 0.500) (multiplicity 4)
Cl (0.000, 0.000, 0.500) (multiplicity 2)

Computed properties:
Uncorrected formation energy: -603 meV/atom
Size of the total moment: 0.00 Bohr magnetons per cell
Fermi-level density of states: 3.479 states/eV/f.u.

=====

[9]
This record from Alexandria via LeMat-Bulk describes a relaxed Ti4Nb2In crystal. The functional is PBE-GGA.

Cell: 2.991 18.042 4.900 Å, 90.00 90.00 90.00°
Space group Cmmm (No. 65)
Unique sites:
Ti (0.000, 0.181, 0.000) (multiplicity 4)
Ti (0.000, 0.308, 0.500) (multiplicity 4)
Nb (0.000, 0.071, 0.500) (multiplicity 4)
In (0.000, 0.500, 0.000) (multiplicity 2)

Computed properties:
Formation enthalpy at 0 K: 0.25 eV per atom
Size of the total moment: 0.00 Bohr magnetons per cell
Fermi-level density of states: 10.340 states/eV/f.u.
Energy above the lowest structure with this stoichiometry: 1.94 eV/f.u.

=====

[10]
This record from Alexandria via LeMat-Bulk describes a relaxed KHfBe3 crystal. The functional is PBE-GGA.

Cell: 5.080 5.080 5.080 Å, 90.00 90.00 90.00°
Space group Pm-3m (No. 221)
Unique sites:
K (0.000, 0.000, 0.000) (multiplicity 1)
Hf (0.500, 0.500, 0.500) (multiplicity 1)
Be (0.000, 0.500, 0.500) (multiplicity 3)

Computed properties:
Formation enthalpy at 0 K: 1.44 eV per atom
Size of the total moment: 1.03 Bohr magnetons per cell
Fermi-level density of states: 6.147 states/eV/f.u.
Energy above the lowest structure with this stoichiometry: 0.00 eV/f.u.

=====

[11]
This record from Alexandria via LeMat-Bulk describes a relaxed TiH2Pt crystal. The functional is PBE-GGA.

Cell: 3.0093 3.0093 14.5442 Å, 90.00 90.00 120.00°
Space group R-3m (No. 166, hexagonal axes)
Unique sites:
Ti (0.0000, 0.0000, 0.0000) (multiplicity 3)
H (0.0000, 0.0000, 0.3772) (multiplicity 6)
Pt (0.0000, 0.0000, 0.5000) (multiplicity 3)

Computed properties:
Size of the total moment: 0.00 Bohr magnetons per cell
Fermi-level density of states: 2.849 states/eV/f.u.
Energy above the lowest structure with this stoichiometry: 0.00 eV/f.u.

=====

[12]
This record from Alexandria via LeMat-Bulk describes a relaxed La2CdHg crystal. The functional is PBE-GGA.

Cell: 4.694 4.694 10.584 Å, 90.00 90.00 90.00°
Space group I-4m2 (No. 119)
Unique sites:
La (0.000, 0.000, 0.000) (multiplicity 2)
La (0.000, 0.500, 0.250) (multiplicity 2)
Cd (0.000, 0.500, 0.750) (multiplicity 2)
Hg (0.000, 0.000, 0.500) (multiplicity 2)

Computed properties:
Formation enthalpy at 0 K: -0.32 eV per atom
Size of the total moment: 0.00 Bohr magnetons per cell
Fermi-level density of states: 3.295 states/eV/f.u.
Energy above the lowest structure with this stoichiometry: 0.37 eV/f.u.

=====

> What is the formula in the fourth record?

Ba4PtI3

=====

> Which of these has the lowest Fermi-level density of states?

TlTeAu2

=====

> Which of these has the highest size of the total moment?

KHfBe3